VASP calculation (GGA-PBE) on a relaxed structure of SiP2PbO8.

Cell: 7.944 5.014 7.451 Å, 90.00 93.42 90.00°
Space group C2/m (No. 12)
Inequivalent atoms, fractional coordinates:
Si  0.000  0.000  0.000 (multiplicity 2)
P  0.139  0.500  0.800 (multiplicity 4)
Pb  0.000  0.000  0.500 (multiplicity 2)
O  0.027  0.247  0.828 (multiplicity 8)
O  0.187  0.500  0.605 (multiplicity 4)
O  0.216  0.000  0.056 (multiplicity 4)

Output
DFT total energy   -7.1669 eV per atom
Density of states at the Fermi level   0.00 states/eV/f.u.
Size of the total moment   0.00 Bohr magnetons per cell


VASP calculation (GGA-PBE) on a relaxed structure of Mo4PbW.

Cell: 7.488 7.488 7.488 Å, 90.00 90.00 90.00°
Space group F-43m (No. 216)
Inequivalent atoms, fractional coordinates:
Mo  0.125  0.125  0.125 (multiplicity 16)
Pb  0.250  0.250  0.750 (multiplicity 4)
W  0.000  0.000  0.500 (multiplicity 4)

Output
DFT total energy   -9.4648 eV per atom
Density of states at the Fermi level   5.62 states/eV/f.u.
Size of the total moment   0.00 Bohr magnetons per cell


VASP calculation (GGA-PBE) on a relaxed structure of Tm2ThTe.

Cell: 3.7055 3.7055 32.6046 Å, 90.00 90.00 120.00°
Space group R-3m (No. 166, hexagonal axes)
Inequivalent atoms, fractional coordinates:
Tm  0.0000  0.0000  0.1023 (multiplicity 6)
Th  0.0000  0.0000  0.0000 (multiplicity 3)
Te  0.0000  0.0000  0.5000 (multiplicity 3)

Output
DFT total energy   -5.0118 eV per atom
Energy above the lowest structure with this stoichiometry   403 meV per atom
Density of states at the Fermi level   5.02 states/eV/f.u.
Size of the total moment   0.00 Bohr magnetons per cell


VASP calculation (GGA-PBE) on a relaxed structure of Zr4HgI8.

Cell: 21.372 3.771 14.954 Å, 90.00 133.10 90.00°
Space group Cm (No. 8)
Inequivalent atoms, fractional coordinates:
Zr  0.000  0.000  0.000 (multiplicity 2)
Zr  0.009  0.500  0.393 (multiplicity 2)
Zr  0.377  0.500  0.368 (multiplicity 2)
Zr  0.387  0.000  0.762 (multiplicity 2)
Hg  0.194  0.500  0.881 (multiplicity 2)
I  0.017  0.000  0.823 (multiplicity 2)
I  0.040  0.000  0.274 (multiplicity 2)
I  0.060  0.000  0.583 (multiplicity 2)
I  0.146  0.500  0.156 (multiplicity 2)
I  0.241  0.500  0.607 (multiplicity 2)
I  0.327  0.000  0.178 (multiplicity 2)
I  0.347  0.000  0.488 (multiplicity 2)
I  0.370  0.000  0.939 (multiplicity 2)

Output
DFT total energy   -4.3350 eV per atom
Size of the total moment   0.00 Bohr magnetons per cell


VASP calculation (GGA-PBE) on a relaxed structure of RbBTeN2.

Cell: 4.383 4.383 4.616 Å, 90.00 90.00 90.00°
Space group P4/mmm (No. 123)
Inequivalent atoms, fractional coordinates:
Rb  0.000  0.000  0.000 (multiplicity 1)
B  0.500  0.500  0.500 (multiplicity 1)
Te  0.500  0.500  0.000 (multiplicity 1)
N  0.000  0.500  0.500 (multiplicity 2)

Output
DFT total energy   -3.5735 eV per atom
Energy above the lowest structure with this stoichiometry   0 meV per atom
Density of states at the Fermi level   4.04 states/eV/f.u.
Size of the total moment   2.79 Bohr magnetons per cell


VASP calculation (GGA-PBE) on a relaxed structure of DyHoZr2As4.

Cell: 6.866 3.959 6.949 Å, 90.00 109.29 90.00°
Space group P2/m (No. 10)
Inequivalent atoms, fractional coordinates:
Dy  0.000  0.000  0.000 (multiplicity 1)
Ho  0.500  0.500  0.000 (multiplicity 1)
Zr  0.000  0.500  0.500 (multiplicity 1)
Zr  0.500  0.000  0.500 (multiplicity 1)
As  0.247  0.000  0.738 (multiplicity 2)
As  0.255  0.500  0.262 (multiplicity 2)

Output
DFT total energy   -6.9255 eV per atom
Density of states at the Fermi level   4.35 states/eV/f.u.
Size of the total moment   0.00 Bohr magnetons per cell


VASP calculation (GGA-PBE) on a relaxed structure of HoMoN3.

Cell: 11.163 9.556 6.270 Å, 90.00 112.46 90.00°
Space group C2/c (No. 15)
Inequivalent atoms, fractional coordinates:
Ho  0.000  0.088  0.250 (multiplicity 4)
Ho  0.000  0.290  0.750 (multiplicity 4)
Mo  0.210  0.410  0.224 (multiplicity 8)
N  0.109  0.109  0.654 (multiplicity 8)
N  0.131  0.244  0.163 (multiplicity 8)
N  0.144  0.486  0.924 (multiplicity 8)

Output
DFT total energy   -8.9892 eV per atom
Density of states at the Fermi level   0.00 states/eV/f.u.
Size of the total moment   0.00 Bohr magnetons per cell


VASP calculation (GGA-PBE) on a relaxed structure of Li6HgPb3.

Cell: 10.077 10.077 10.077 Å, 90.00 90.00 90.00°
Space group Fm-3m (No. 225)
Inequivalent atoms, fractional coordinates:
Li  0.000  0.000  0.246 (multiplicity 24)
Hg  0.000  0.000  0.000 (multiplicity 4)
Pb  0.000  0.000  0.500 (multiplicity 4)
Pb  0.250  0.250  0.250 (multiplicity 8)

Output
DFT total energy   -2.2506 eV per atom
Energy above the lowest structure with this stoichiometry   333 meV per atom
Density of states at the Fermi level   3.33 states/eV/f.u.
Size of the total moment   0.00 Bohr magnetons per cell


VASP calculation (GGA-PBE) on a relaxed structure of NbPdO2.

Cell: 3.1232 3.1232 19.5459 Å, 90.00 90.00 120.00°
Space group R-3m (No. 166, hexagonal axes)
Inequivalent atoms, fractional coordinates:
Nb  0.0000  0.0000  0.0000 (multiplicity 3)
Pd  0.0000  0.0000  0.5000 (multiplicity 3)
O  0.0000  0.0000  0.0990 (multiplicity 6)

Output
DFT total energy   -6.8332 eV per atom
Energy above the lowest structure with this stoichiometry   908 meV per atom
Density of states at the Fermi level   3.50 states/eV/f.u.
Size of the total moment   5.11 Bohr magnetons per cell


VASP calculation (GGA-PBE) on a relaxed structure of Pu3TeO3.

Cell: 9.555 3.919 9.563 Å, 90.00 119.95 90.00°
Space group P2_1/m (No. 11)
Inequivalent atoms, fractional coordinates:
Pu  0.092  0.250  0.214 (multiplicity 2)
Pu  0.285  0.250  0.877 (multiplicity 2)
Pu  0.378  0.750  0.592 (multiplicity 2)
Te  0.334  0.750  0.166 (multiplicity 2)
O  0.028  0.250  0.791 (multiplicity 2)
O  0.263  0.250  0.472 (multiplicity 2)
O  0.290  0.750  0.762 (multiplicity 2)

Output
DFT total energy   -11.0934 eV per atom
Energy above the lowest structure with this stoichiometry   91 meV per atom
Density of states at the Fermi level   14.68 states/eV/f.u.
Size of the total moment   32.00 Bohr magnetons per cell


VASP calculation (GGA-PBE) on a relaxed structure of LiTlS2.

Cell: 3.923 3.923 5.308 Å, 90.00 90.00 90.00°
Space group P4/mmm (No. 123)
Inequivalent atoms, fractional coordinates:
Li  0.000  0.000  0.000 (multiplicity 1)
Tl  0.500  0.500  0.500 (multiplicity 1)
S  0.000  0.000  0.500 (multiplicity 1)
S  0.500  0.500  0.000 (multiplicity 1)

Output
DFT total energy   -3.5920 eV per atom
Density of states at the Fermi level   2.87 states/eV/f.u.
Size of the total moment   0.00 Bohr magnetons per cell


VASP calculation (GGA-PBE) on a relaxed structure of GdBiRh.

Cell: 4.7353 4.7353 3.6080 Å, 90.00 90.00 120.00°
Space group P-6m2 (No. 187)
Inequivalent atoms, fractional coordinates:
Gd  0.0000  0.0000  0.0000 (multiplicity 1)
Bi  0.3333  0.6667  0.5000 (multiplicity 1)
Rh  0.6667  0.3333  0.5000 (multiplicity 1)

Output
DFT total energy   -9.0794 eV per atom
Density of states at the Fermi level   1.79 states/eV/f.u.
Size of the total moment   7.01 Bohr magnetons per cell


VASP calculation (GGA-PBE) on a relaxed structure of Ba2GeRhAu.

Cell: 4.473 4.473 15.965 Å, 90.00 90.00 90.00°
Space group P4/nmm (No. 129, origin choice 2)
Inequivalent atoms, fractional coordinates:
Ba  0.250  0.250  0.095 (multiplicity 2)
Ba  0.250  0.250  0.668 (multiplicity 2)
Ge  0.250  0.250  0.426 (multiplicity 2)
Rh  0.250  0.750  0.500 (multiplicity 2)
Au  0.250  0.250  0.881 (multiplicity 2)

Output
DFT total energy   -4.4607 eV per atom
Energy above the lowest structure with this stoichiometry   0 meV per atom
Density of states at the Fermi level   3.66 states/eV/f.u.
Size of the total moment   0.00 Bohr magnetons per cell


VASP calculation (GGA-PBE) on a relaxed structure of ZnTcCl2.

Cell: 7.133 7.133 8.707 Å, 90.00 90.00 90.00°
Space group I-42d (No. 122)
Inequivalent atoms, fractional coordinates:
Zn  0.000  0.000  0.000 (multiplicity 4)
Tc  0.000  0.000  0.500 (multiplicity 4)
Cl  0.128  0.250  0.625 (multiplicity 8)

Output
DFT total energy   -3.4963 eV per atom
Energy above the lowest structure with this stoichiometry   586 meV per atom
Density of states at the Fermi level   3.04 states/eV/f.u.
Size of the total moment   0.00 Bohr magnetons per cell


VASP calculation (GGA-PBE) on a relaxed structure of Hf3ZrSb2.

Cell: 16.930 3.774 9.265 Å, 90.00 112.32 90.00°
Space group C2/m (No. 12)
Inequivalent atoms, fractional coordinates:
Hf  0.054  0.000  0.157 (multiplicity 4)
Hf  0.134  0.500  0.971 (multiplicity 4)
Hf  0.185  0.500  0.397 (multiplicity 4)
Zr  0.110  0.000  0.597 (multiplicity 4)
Sb  0.004  0.500  0.338 (multiplicity 4)
Sb  0.250  0.000  0.216 (multiplicity 4)

Output
DFT total energy   -8.1600 eV per atom
Density of states at the Fermi level   4.11 states/eV/f.u.
Size of the total moment   0.00 Bohr magnetons per cell


VASP calculation (GGA-PBE) on a relaxed structure of LiB2C2.

Cell: 2.718 9.347 7.312 Å, 90.00 90.00 90.00°
Space group Pmc2_1 (No. 26)
Inequivalent atoms, fractional coordinates:
Li  0.000  0.024  0.000 (multiplicity 2)
Li  0.500  0.260  0.511 (multiplicity 2)
B  0.000  0.171  0.263 (multiplicity 2)
B  0.000  0.331  0.759 (multiplicity 2)
B  0.500  0.081  0.741 (multiplicity 2)
B  0.500  0.422  0.270 (multiplicity 2)
C  0.000  0.162  0.736 (multiplicity 2)
C  0.000  0.340  0.276 (multiplicity 2)
C  0.500  0.088  0.257 (multiplicity 2)
C  0.500  0.411  0.762 (multiplicity 2)

Output
DFT total energy   -6.7589 eV per atom
Energy above the lowest structure with this stoichiometry   54 meV per atom
Density of states at the Fermi level   1.25 states/eV/f.u.
Size of the total moment   0.00 Bohr magnetons per cell


VASP calculation (GGA-PBE) on a relaxed structure of CeNd8Er4.

Cell: 7.3924 7.3924 27.5967 Å, 90.00 90.00 120.00°
Space group R-3m (No. 166, hexagonal axes)
Inequivalent atoms, fractional coordinates:
Ce  0.0000  0.0000  0.0000 (multiplicity 3)
Nd  0.0000  0.0000  0.2788 (multiplicity 6)
Nd  0.0272  0.5136  0.2688 (multiplicity 18)
Er  0.0000  0.0000  0.5000 (multiplicity 3)
Er  0.0000  0.5000  0.5000 (multiplicity 9)

Output
DFT total energy   -4.6446 eV per atom
Density of states at the Fermi level   20.19 states/eV/f.u.
Size of the total moment   0.01 Bohr magnetons per cell


VASP calculation (GGA-PBE) on a relaxed structure of CsTlPtBr6.

Cell: 7.9925 7.9925 7.1587 Å, 90.00 90.00 120.00°
Space group P312 (No. 149)
Inequivalent atoms, fractional coordinates:
Cs  0.0000  0.0000  0.0000 (multiplicity 1)
Tl  0.3333  0.6667  0.5000 (multiplicity 1)
Pt  0.6667  0.3333  0.5000 (multiplicity 1)
Br  0.4133  0.0765  0.7043 (multiplicity 6)

Output
DFT total energy   -2.8722 eV per atom
Size of the total moment   0.00 Bohr magnetons per cell


VASP calculation (GGA-PBE) on a relaxed structure of Cs4Se2O.

Cell: 6.733 6.733 14.557 Å, 90.00 90.00 90.00°
Space group I4/mmm (No. 139)
Inequivalent atoms, fractional coordinates:
Cs  0.000  0.000  0.174 (multiplicity 4)
Cs  0.000  0.500  0.000 (multiplicity 4)
Se  0.000  0.000  0.414 (multiplicity 4)
O  0.000  0.000  0.000 (multiplicity 2)

Output
DFT total energy   -3.1034 eV per atom
Size of the total moment   0.09 Bohr magnetons per cell


VASP calculation (GGA-PBE) on a relaxed structure of SnSbBr5.

Cell: 7.215 13.517 12.741 Å, 90.00 117.20 90.00°
Space group P2_1/c (No. 14)
Inequivalent atoms, fractional coordinates:
Sn  0.209  0.155  0.172 (multiplicity 4)
Sb  0.279  0.036  0.806 (multiplicity 4)
Br  0.155  0.003  0.312 (multiplicity 4)
Br  0.226  0.223  0.872 (multiplicity 4)
Br  0.275  0.540  0.545 (multiplicity 4)
Br  0.277  0.115  0.619 (multiplicity 4)
Br  0.366  0.652  0.217 (multiplicity 4)

Output
DFT total energy   -3.0106 eV per atom
Energy above the lowest structure with this stoichiometry   0 meV per atom
Density of states at the Fermi level   0.00 states/eV/f.u.
Size of the total moment   0.00 Bohr magnetons per cell